This record from Alexandria via LeMat-Bulk describes crystalline PrErSc at its relaxed geometry. The functional is GGA-PBE.

abc: 9.522 9.522 9.522
angles: 159.76 141.20 44.14
Fractional coordinates of all 6 atoms:
Pr  0.244  0.000  0.244
Pr  0.756  0.000  0.756
Er  0.159  0.659  0.500
Er  0.841  0.341  0.500
Sc  0.340  0.840  0.500
Sc  0.660  0.160  0.500

Values from the calculation:
The value obtained for the total energy is -4.91 eV/atom. The space group is Immm.


This record from Alexandria via LeMat-Bulk describes crystalline Pr2Er5Sc4 at its relaxed geometry. The functional is GGA-PBE.

abc: 12.196 12.196 12.196
angles: 164.05 138.18 45.03
Fractional coordinates of all 11 atoms:
Pr  0.232  0.232  0.000
Pr  0.768  0.768  0.000
Er  0.167  0.363  0.803
Er  0.440  0.637  0.803
Er  0.500  0.000  0.500
Er  0.560  0.363  0.197
Er  0.833  0.637  0.197
Sc  0.094  0.094  0.000
Sc  0.178  0.500  0.678
Sc  0.822  0.500  0.322
Sc  0.906  0.906  0.000

Values from the calculation:
The value obtained for the total energy is -5.10 eV/atom. The space group is Immm.


This record from Alexandria via LeMat-Bulk describes crystalline PrEr2Sc7 at its relaxed geometry. The functional is GGA-PBE.

abc: 8.890 8.890 6.705
angles: 101.39 101.39 30.95
Fractional coordinates of all 10 atoms:
Pr  0.000  0.000  0.000
Er  0.198  0.198  0.602
Er  0.802  0.802  0.398
Sc  0.000  0.000  0.500
Sc  0.201  0.201  0.100
Sc  0.398  0.398  0.200
Sc  0.400  0.400  0.697
Sc  0.600  0.600  0.303
Sc  0.602  0.602  0.800
Sc  0.799  0.799  0.900

Values from the calculation:
The value obtained for the total energy is -5.76 eV/atom. The space group is C2/m.


This record from Alexandria via LeMat-Bulk describes crystalline Pr6Er8Sc at its relaxed geometry. The functional is GGA-PBE.

abc: 8.693 8.693 8.693
angles: 62.83 62.83 62.83
Fractional coordinates of all 15 atoms:
Pr  0.041  0.727  0.599
Pr  0.273  0.401  0.959
Pr  0.401  0.959  0.273
Pr  0.599  0.041  0.727
Pr  0.727  0.599  0.041
Pr  0.959  0.273  0.401
Er  0.077  0.077  0.077
Er  0.215  0.255  0.612
Er  0.255  0.612  0.215
Er  0.388  0.785  0.745
Er  0.612  0.215  0.255
Er  0.745  0.388  0.785
Er  0.785  0.745  0.388
Er  0.923  0.923  0.923
Sc  0.500  0.500  0.500

Values from the calculation:
The value obtained for the total energy is -4.65 eV/atom. The space group is R-3.


This record from Alexandria via LeMat-Bulk describes crystalline PrEr4Sc2 at its relaxed geometry. The functional is GGA-PBE.

abc: 6.911 8.342 8.560
angles: 114.35 101.80 101.96
Fractional coordinates of all 14 atoms:
Pr  0.000  0.000  0.000
Pr  0.084  0.767  0.574
Er  0.199  0.334  0.456
Er  0.305  0.884  0.291
Er  0.397  0.446  0.122
Er  0.500  0.999  0.986
Er  0.612  0.594  0.851
Er  0.697  0.330  0.452
Er  0.891  0.441  0.111
Er  0.971  0.175  0.712
Sc  0.117  0.595  0.856
Sc  0.478  0.178  0.717
Sc  0.591  0.777  0.580
Sc  0.790  0.882  0.284

Values from the calculation:
The value obtained for the total energy is -5.05 eV/atom. The space group is P1.


This record from Alexandria via LeMat-Bulk describes crystalline Pr12Er2Sc5 at its relaxed geometry. The functional is GGA-PBE.

abc: 9.070 9.070 8.603
angles: 90.48 90.48 62.12
Fractional coordinates of all 19 atoms:
Pr  0.070  0.070  0.336
Pr  0.070  0.679  0.335
Pr  0.160  0.526  0.770
Pr  0.321  0.930  0.665
Pr  0.409  0.409  0.122
Pr  0.474  0.840  0.230
Pr  0.526  0.160  0.770
Pr  0.591  0.591  0.878
Pr  0.679  0.070  0.335
Pr  0.840  0.474  0.230
Pr  0.930  0.321  0.665
Pr  0.930  0.930  0.664
Er  0.170  0.830  0.000
Er  0.830  0.170  0.000
Sc  0.195  0.195  0.021
Sc  0.273  0.273  0.433
Sc  0.500  0.500  0.500
Sc  0.727  0.727  0.567
Sc  0.805  0.805  0.979

Values from the calculation:
The value obtained for the total energy is -5.01 eV/atom. The space group is C2/m.


This record from Alexandria via LeMat-Bulk describes crystalline PrErSc at its relaxed geometry. The functional is GGA-PBE.

abc: 3.507 4.912 10.517
angles: 90.00 90.00 90.00
Fractional coordinates of all 6 atoms:
Pr  0.250  0.250  0.093
Pr  0.750  0.750  0.907
Er  0.250  0.250  0.733
Er  0.750  0.750  0.267
Sc  0.250  0.250  0.422
Sc  0.750  0.750  0.578

Values from the calculation:
The value obtained for the total energy is -5.16 eV/atom. The space group is Pmmn.


This record from Alexandria via LeMat-Bulk describes crystalline Pr9ErSc2 at its relaxed geometry. The functional is GGA-PBE.

abc: 5.115 5.115 15.347
angles: 90.00 90.00 90.00
Fractional coordinates of all 12 atoms:
Pr  0.000  0.000  0.000
Pr  0.000  0.000  0.335
Pr  0.000  0.000  0.665
Pr  0.000  0.500  0.170
Pr  0.000  0.500  0.500
Pr  0.000  0.500  0.830
Pr  0.500  0.000  0.170
Pr  0.500  0.000  0.500
Pr  0.500  0.000  0.830
Er  0.500  0.500  0.000
Sc  0.500  0.500  0.335
Sc  0.500  0.500  0.665

Values from the calculation:
The value obtained for the total energy is -4.99 eV/atom. The space group is P4/mmm.